Record 1
First-principles (PBE) data for a geometry-optimized Nb3BrO structure, as listed in Alexandria via LeMat-Bulk.

Computed properties:
- total moment (μB per formula unit) = 0.00
- distance to the lowest polymorph of the same formula (meV per atom) = 0.0
- uncorrected formation energy (eV/atom) = -0.152
- crystal system = cubic
- D(E_F) (states/eV per atom) = 0.43

abc: 4.3389 4.3389 4.3389
angles: 90.00 90.00 90.00
With the nearest neighbours (Å) after each atom.
Atoms (fractional coordinates):
Nb 0.0000 0.0000 0.5000  2 O 2.17
Nb 0.5000 0.0000 0.0000  2 O 2.17
Nb 0.0000 0.5000 0.0000  2 O 2.17
Br 0.5000 0.5000 0.5000  12 Nb 3.07
O 0.0000 0.0000 0.0000  6 Nb 2.17



Record 2
First-principles (PBE) data for a geometry-optimized NbBrO2 structure, as listed in Alexandria via LeMat-Bulk.

Computed properties:
- total moment (μB per formula unit) = 0.00
- uncorrected formation energy (eV/atom) = -1.811
- crystal system = monoclinic

abc: 3.1792 7.3043 6.3104
angles: 90.00 90.00 100.95
With the nearest neighbours (Å) after each atom.
Atoms (fractional coordinates):
O 0.2035 0.3935 0.0727  3 Nb 2.11-2.15, 1 O 2.24
O 0.7965 0.6065 0.5727  3 Nb 2.11-2.15, 1 O 2.24
O 0.7965 0.6065 0.9273  3 Nb 2.11-2.15, 1 O 2.24
O 0.2035 0.3935 0.4273  3 Nb 2.11-2.15, 1 O 2.24
Br 0.6137 0.1875 0.7500  2 Nb 2.70, 4 O 2.98
Br 0.3863 0.8125 0.2500  2 Nb 2.70, 4 O 2.98
Nb 0.7537 0.5084 0.2500  6 O 2.11-2.15
Nb 0.2463 0.4916 0.7500  6 O 2.11-2.15



Record 3
First-principles (PBE) data for a geometry-optimized Nb3Br7O structure, as listed in Alexandria via LeMat-Bulk.

Computed properties:
- total moment (μB per formula unit) = 0.00
- uncorrected formation energy (eV/atom) = -1.072
- crystal system = trigonal

abc: 6.9919 7.1000 7.1000
angles: 120.00 90.00 90.00
With the nearest neighbours (Å) after each atom.
Atoms (fractional coordinates):
Br 0.0217 0.1642 0.8358  2 Nb 2.57
Br 0.5606 0.8361 0.6723  2 Nb 2.75
Br 0.9658 0.6667 0.3333  3 Nb 2.83
Br 0.0217 0.6717 0.8358  2 Nb 2.57
Br 0.5606 0.8361 0.1639  2 Nb 2.75
Br 0.5606 0.3277 0.1639  2 Nb 2.75
Br 0.0217 0.1642 0.3283  2 Nb 2.57
Nb 0.7735 0.0719 0.5360  1 O 2.09
Nb 0.7735 0.4640 0.9281  1 O 2.09
Nb 0.7735 0.4640 0.5360  1 O 2.09
O 0.5818 0.3333 0.6667  3 Nb 2.09



Record 4
First-principles (PBE) data for a geometry-optimized Nb2Br8O structure, as listed in Alexandria via LeMat-Bulk.

Computed properties:
- total moment (μB per formula unit) = 0.00
- uncorrected formation energy (eV/atom) = -0.825
- crystal system = monoclinic
- D(E_F) (states/eV per atom) = 0.06

abc: 6.1151 8.3959 8.3959
angles: 86.10 96.65 96.65
With the nearest neighbours (Å) after each atom.
Atoms (fractional coordinates):
Br 0.5870 0.7408 0.0324  2 Nb 2.68-2.70
Br 0.5870 0.0324 0.7408  2 Nb 2.68-2.70
Br 0.3520 0.4267 0.4267  1 Br 2.34
Br 0.8883 0.2543 0.2543  1 Nb 2.50
Br 0.4130 0.2592 0.9676  2 Nb 2.68-2.70
Br 0.4130 0.9676 0.2592  2 Nb 2.68-2.70
Br 0.1117 0.7457 0.7457  1 Nb 2.50
Br 0.6480 0.5733 0.5733  1 Br 2.34
Nb 0.7203 0.0547 0.0547  1 O 1.93
Nb 0.2797 0.9453 0.9453  1 O 1.93
O 0.0000 0.0000 0.0000  2 Nb 1.93



Q: Look up the uncorrected formation energy of the first one.
A: -0.152 eV/atom



Repeat the first record exactly.
First-principles (PBE) data for a geometry-optimized Nb3BrO structure, as listed in Alexandria via LeMat-Bulk.

Computed properties:
- total moment (μB per formula unit) = 0.00
- distance to the lowest polymorph of the same formula (meV per atom) = 0.0
- uncorrected formation energy (eV/atom) = -0.152
- crystal system = cubic
- D(E_F) (states/eV per atom) = 0.43

abc: 4.3389 4.3389 4.3389
angles: 90.00 90.00 90.00
With the nearest neighbours (Å) after each atom.
Atoms (fractional coordinates):
Nb 0.0000 0.0000 0.5000  2 O 2.17
Nb 0.5000 0.0000 0.0000  2 O 2.17
Nb 0.0000 0.5000 0.0000  2 O 2.17
Br 0.5000 0.5000 0.5000  12 Nb 3.07
O 0.0000 0.0000 0.0000  6 Nb 2.17